First-principles (PBE) data for an optimized crystal structure of Sr2CuCN2O2, as listed in the Alexandria database.

Cell: 3.8420 3.8420 8.1749 Å, 90.00 90.00 90.00°
Closest atoms and distances in Å follow each position.
Space group P4/mmm (No. 123)
Inequivalent atoms, fractional coordinates:
1 Sr 0.0000 0.0000 0.2122 [2 per cell]  4 O 2.59
2 Cu 0.5000 0.5000 0.0000 [1 per cell]  4 O 1.92
3 C 0.5000 0.5000 0.5000 [1 per cell]  2 N 1.25
4 N 0.5000 0.5000 0.3476 [2 per cell]  1 C 1.25
5 O 0.0000 0.5000 0.0000 [2 per cell]  2 Cu 1.92

- Volume: 15.08 Å³/atom
- Density: 4.3 g cm⁻³
- E_tot: -6.6527 eV/atom
- Formation energy without anion corrections: -9.97 eV per formula unit
- Spin magnetization: 0.14 μB per cell